The following is a PBE calculation of a geometry-optimized CeYAlRh structure, from the Alexandria database.

For the formation energy, the calculation gives -0.45 eV per atom. The density of states at the Fermi level comes out at 5.8 states/eV/cell. Its density is 6.6 Mg/m³. The value obtained for the raw total energy is -25.298 eV per cell. The total magnetization is 0.37 μB per cell.

Lattice parameters (Å, degrees): 5.038 5.038 5.038 60.00 60.00 60.00
Sites, in units of the cell vectors:
Ce: 0.000 0.000 0.000
Y: 0.500 0.500 0.500
Al: 0.750 0.750 0.750
Rh: 0.250 0.250 0.250